6
Lattice="-1.5153 -0.0796 4.7821 0.1306 -4.2512 -2.6612 7.1179 -1.1809 2.2358" Properties=species:S:1:pos:R:3 comment="AcHoCd4 | Alexandria via LeMat-Bulk | GGA-PBE | optimized geometry" e_above_lowest_polymorph_ev_per_atom=0.000 ef_kj_per_mol_atoms=-30 pbc="T T T"
Ac 3.5590 -0.5904 1.1179
Ho 0.0000 0.0000 0.0000
Cd 1.1154 -3.1150 0.3016
Cd 5.1665 -3.7871 1.5741
Cd 0.5667 -1.7245 2.7827
Cd 4.6179 -2.3966 4.0552

8
Lattice="4.0987 0.0000 0.0000 0.0000 7.2547 -0.2074 0.0000 2.4918 6.8371" Properties=species:S:1:pos:R:3 comment="KTb2TmSe4 | Alexandria via LeMat-Bulk | GGA-PBE | optimized geometry" e_form_raw_kj_per_mol_atoms=-162.13 pbc="T T T"
K 2.0493 3.6273 -0.1037
Tb 0.0000 2.4918 6.8371
Tb 2.0493 1.2459 3.4185
Tm 0.0000 4.8732 3.3149
Se 0.0001 7.3605 4.8410
Se 4.0987 2.3860 1.7886
Se 2.0494 6.0966 1.6298
Se 2.0494 3.6499 4.9999

no.,VASP energy (eV/atom)
1,-2.37
2,-5.28